# 1
{
  "formula": "ErZn2F8",
  "functional": "PBE",
  "state": "relaxed",
  "dft_energy_ev_per_atom": -4.686,
  "crystal_system": "tetragonal",
  "cell": [[5.447, 0.000, 0.000], [0.000, 5.447, 0.000], [-2.723, -2.723, 5.183]],
  "species": ["F", "F", "F", "F", "Zn", "Zn", "F", "Er", "F", "F", "F"],
  "frac_coords": [[0.461, 0.923, 0.249], [0.539, 0.673, 0.751], [0.077, 0.539, 0.751], [0.211, 0.077, 0.751], [0.250, 0.750, 0.500], [0.750, 0.250, 0.500], [0.923, 0.789, 0.249], [0.500, 0.500, 0.000], [0.673, 0.211, 0.751], [0.327, 0.461, 0.249], [0.789, 0.327, 0.249]]
}

---

# 2
{
  "formula": "Er2ZnF8",
  "functional": "PBE",
  "state": "relaxed",
  "dft_energy_ev_per_atom": -5.865,
  "crystal_system": "monoclinic",
  "cell": [[-0.220, -0.858, -3.233], [0.792, -5.545, 1.417], [-7.727, -0.790, 2.473]],
  "species": ["F", "F", "F", "F", "F", "Er", "F", "Zn", "F", "F", "Er"],
  "frac_coords": [[0.756, 0.670, 0.513], [0.392, 0.534, 0.783], [0.371, 0.070, 0.743], [0.629, 0.930, 0.257], [0.983, 0.218, 0.965], [0.845, 0.343, 0.690], [0.244, 0.330, 0.487], [0.500, 0.000, 0.000], [0.608, 0.466, 0.217], [0.017, 0.782, 0.035], [0.155, 0.657, 0.310]]
}

---

# 3
{
  "formula": "Er2ZnF8",
  "functional": "PBE",
  "state": "relaxed",
  "dft_energy_ev_per_atom": -5.933,
  "crystal_system": "monoclinic",
  "cell": [[-0.939, 3.936, 2.472], [-4.949, -0.990, -2.961], [-2.859, -4.186, 2.923]],
  "species": ["Er", "F", "F", "F", "F", "F", "F", "F", "Er", "Zn", "F"],
  "frac_coords": [[0.401, 0.676, 0.676], [0.766, 0.138, 0.138], [0.219, 0.426, 0.426], [0.273, 0.956, 0.344], [0.727, 0.656, 0.044], [0.781, 0.574, 0.574], [0.273, 0.344, 0.956], [0.727, 0.044, 0.656], [0.599, 0.324, 0.324], [0.000, 0.000, 0.000], [0.234, 0.862, 0.862]]
}

---

# 4
{
  "formula": "ErZn2F6",
  "functional": "PBE",
  "state": "relaxed",
  "dft_energy_ev_per_atom": -4.821,
  "crystal_system": "monoclinic",
  "cell": [[-3.767, -0.725, 0.384], [2.998, -4.546, 1.468], [-0.536, 5.327, 4.799]],
  "species": ["Er", "F", "F", "Zn", "F", "F", "F", "F", "Zn"],
  "frac_coords": [[0.000, 0.000, 0.500], [0.981, 0.962, 0.798], [0.239, 0.478, 0.807], [0.179, 0.358, 0.119], [0.761, 0.522, 0.193], [0.374, 0.748, 0.464], [0.626, 0.252, 0.536], [0.019, 0.038, 0.202], [0.821, 0.642, 0.881]]
}